# BaMgTl2

A relaxed structure of BaMgTl2 (PBEsol, the Alexandria database).

Values from the calculation:
As for the total energy: -2.589 eV/atom. The value obtained for the energy of formation is -0.3075 eV per atom.

a b c (Å): 3.8150 3.8150 7.9985
angles (deg): 90.00 90.00 90.00
Closest atoms and distances in Å follow each position.
Atoms (fractional coordinates):
1 Ba 0.0000 0.0000 0.0000  8 Tl 3.60, 4 Ba 3.81, 2 Mg 4.00
2 Mg 0.0000 0.0000 0.5000  8 Tl 3.15
3 Tl 0.5000 0.5000 0.2974  4 Mg 3.15, 1 Tl 3.24
4 Tl 0.5000 0.5000 0.7026  4 Mg 3.15, 1 Tl 3.24